First-principles (PBE) data for a relaxed BPIrC2 crystal, as listed in Alexandria via LeMat-Bulk.

a b c (Å): 2.869 4.079 5.011
angles (deg): 107.84 92.66 100.16
Atoms (fractional coordinates):
P  0.654  0.742  0.332
C  0.125  0.604  0.470
C  0.660  0.573  0.918
Ir  0.748  0.145  0.113
B  0.160  0.600  0.786

Computed properties:
The calculation puts the formation energy at 0.37 eV/atom. As for the energy above the most stable polymorph in this dataset: 0.12 eV/f.u. Its total magnetization is 0.000 μB/atom.